*A*
VASP calculation (PBE) on a geometry-optimized SmZrOs structure.

```
3
Lattice="0.0000 3.2732 3.2732 3.2732 0.0000 3.2732 3.2732 3.2732 0.0000" Properties=species:S:1:pos:R:3 pbc="T T T"
Zr 0.0000 0.0000 0.0000
Os 1.6366 1.6366 1.6366
Sm 4.9098 4.9098 4.9098
```

Summary:
Size of the total moment ... 0.00 μB/cell
Space group ... F-43m, No. 216



*B*
VASP calculation (PBE) on a geometry-optimized SmZrOs structure.

```
3
Lattice="-3.1889 1.5476 2.9860 -1.4480 4.3968 -0.2283 -4.2882 0.9538 -1.4770" Properties=species:S:1:pos:R:3 pbc="T T T"
Os -2.2313 1.7246 0.3202
Sm 0.0000 0.0000 0.0000
Zr -6.6938 5.1737 0.9605
```

Summary:
Size of the total moment ... 0.00 μB/cell
Space group ... F-43m, No. 216



Stability order, top to bottom: *A*, *B*